Record 1
# LuAlFeCu

LuAlFeCu after structural relaxation (PBE-GGA, OQMD).

- polymorph energy (0 for the lowest one) (eV/f.u.) = 1.126
- space group = F-43m (216)
- spin magnetization (μB per formula unit) = 2.5

a b c (Å): 4.509 4.509 4.509
angles (deg): 60.00 60.00 60.00
Sites, in units of the cell vectors:
1 Al 0.000 0.000 0.000
2 Cu 0.750 0.750 0.750
3 Fe 0.500 0.500 0.500
4 Lu 0.250 0.250 0.250

***

Record 2
# LuAlFeCu

LuAlFeCu after structural relaxation (PBE-GGA, OQMD).

- polymorph energy (0 for the lowest one) (eV/f.u.) = 0.000
- space group = F-43m (216)
- spin magnetization (μB per formula unit) = 1.1

a b c (Å): 4.433 4.433 4.433
angles (deg): 60.00 60.00 60.00
Sites, in units of the cell vectors:
1 Al 0.000 0.000 0.000
2 Cu 0.750 0.750 0.750
3 Fe 0.250 0.250 0.250
4 Lu 0.500 0.500 0.500

***

Record 3
# ScAl2FeCu4

ScAl2FeCu4 after structural relaxation (PBE-GGA, OQMD).

- polymorph energy (0 for the lowest one) (eV/f.u.) = 0.057
- space group = I4_1/amd (141)
- spin magnetization (μB per formula unit) = 2.6

a b c (Å): 7.353 7.353 7.353
angles (deg): 132.32 132.32 69.72
Each line ends with the local moment (μB).
Sites, in units of the cell vectors:
1 Al 0.506 0.506 0.000  0.00
2 Al 0.994 0.994 0.000  0.00
3 Al 0.756 0.256 0.500  0.00
4 Al 0.244 0.744 0.500  0.00
5 Cu 0.147 0.625 0.022  0.00
6 Cu 0.375 0.897 0.022  0.00
7 Cu 0.375 0.353 0.478  0.00
8 Cu 0.603 0.625 0.478  0.00
9 Cu 0.147 0.125 0.522  0.00
10 Cu 0.875 0.897 0.522  0.00
11 Cu 0.875 0.353 0.978  0.00
12 Cu 0.603 0.125 0.978  0.00
13 Fe 0.250 0.250 0.000  2.57
14 Fe 0.500 0.000 0.500  2.57
15 Sc 0.750 0.750 0.000  0.02
16 Sc 0.000 0.500 0.500  0.02

***

Record 4
# ScAl2FeCu4

ScAl2FeCu4 after structural relaxation (PBE-GGA, OQMD).

- polymorph energy (0 for the lowest one) (eV/f.u.) = 0.000
- space group = P4/mmm (123)
- spin magnetization (μB per formula unit) = 2.9

a b c (Å): 4.205 4.205 6.034
angles (deg): 90.00 90.00 90.00
Each line ends with the local moment (μB).
Sites, in units of the cell vectors:
1 Al 0.000 0.000 0.000  0.01
2 Al 0.500 0.500 0.500  0.00
3 Cu 0.500 0.000 0.234  0.01
4 Cu 0.000 0.500 0.234  0.04
5 Cu 0.500 0.000 0.766  0.01
6 Cu 0.000 0.500 0.766  0.04
7 Fe 0.500 0.500 0.000  2.71
8 Sc 0.000 0.000 0.500  0.05

***

Record 5
# AlFeCuSe4

AlFeCuSe4 after structural relaxation (PBE-GGA, OQMD).

- polymorph energy (0 for the lowest one) (eV/f.u.) = 0.000
- space group = P4_122 (91)
- spin magnetization (μB per formula unit) = 1.7

a b c (Å): 7.275 7.275 10.253
angles (deg): 90.00 90.00 90.00
Each line ends with the local moment (μB).
Sites, in units of the cell vectors:
1 Al 0.000 0.753 0.000  0.01
2 Al 0.247 0.000 0.250  0.01
3 Al 0.000 0.247 0.500  0.01
4 Al 0.753 0.000 0.750  0.01
5 Cu 0.742 0.258 0.125  0.06
6 Cu 0.742 0.742 0.375  0.05
7 Cu 0.258 0.742 0.625  0.06
8 Cu 0.258 0.258 0.875  0.05
9 Fe 0.500 0.752 0.000  1.43
10 Fe 0.248 0.500 0.250  1.53
11 Fe 0.500 0.248 0.500  1.48
12 Fe 0.752 0.500 0.750  1.59
13 Se 0.263 0.980 0.000  0.03
14 Se 0.737 0.980 0.000  0.04
15 Se 0.265 0.518 0.018  0.01
16 Se 0.482 0.735 0.232  0.00
17 Se 0.020 0.263 0.250  0.03
18 Se 0.020 0.737 0.250  0.02
19 Se 0.482 0.265 0.268  0.01
20 Se 0.265 0.482 0.482  0.01
21 Se 0.263 0.020 0.500  0.04
22 Se 0.737 0.020 0.500  0.04
23 Se 0.735 0.482 0.518  0.01
24 Se 0.518 0.265 0.732  0.01
25 Se 0.980 0.263 0.750  0.02
26 Se 0.980 0.737 0.750  0.03
27 Se 0.518 0.735 0.768  0.01
28 Se 0.735 0.518 0.982  0.01

***

Record 6
# AlFeCuSe4

AlFeCuSe4 after structural relaxation (PBE-GGA, OQMD).

- polymorph energy (0 for the lowest one) (eV/f.u.) = 0.856
- space group = P4_122 (91)
- spin magnetization (μB per formula unit) = 1.3

a b c (Å): 7.337 7.337 10.345
angles (deg): 90.00 90.00 90.00
Each line ends with the local moment (μB).
Sites, in units of the cell vectors:
1 Al 0.243 0.757 0.125  0.00
2 Al 0.243 0.243 0.375  0.00
3 Al 0.757 0.243 0.625  0.00
4 Al 0.757 0.757 0.875  0.00
5 Cu 0.500 0.248 0.000  0.01
6 Cu 0.752 0.500 0.250  0.04
7 Cu 0.500 0.752 0.500  0.03
8 Cu 0.248 0.500 0.750  0.03
9 Fe 0.000 0.253 0.000  1.24
10 Fe 0.747 0.000 0.250  1.22
11 Fe 0.000 0.747 0.500  1.26
12 Fe 0.253 0.000 0.750  1.26
13 Se 0.760 0.480 0.004  0.01
14 Se 0.761 0.025 0.017  -0.01
15 Se 0.975 0.239 0.233  -0.01
16 Se 0.520 0.240 0.246  -0.01
17 Se 0.520 0.760 0.254  0.01
18 Se 0.975 0.761 0.267  -0.01
19 Se 0.761 0.975 0.483  -0.01
20 Se 0.760 0.520 0.496  0.02
21 Se 0.240 0.520 0.504  0.01
22 Se 0.239 0.975 0.517  -0.01
23 Se 0.025 0.761 0.733  -0.01
24 Se 0.480 0.760 0.746  0.01
25 Se 0.480 0.240 0.754  -0.01
26 Se 0.025 0.239 0.767  -0.01
27 Se 0.239 0.025 0.983  -0.01
28 Se 0.240 0.480 0.996  0.01

***

Record 7
# AlFeCuTc

AlFeCuTc after structural relaxation (PBE-GGA, OQMD).

- polymorph energy (0 for the lowest one) (eV/f.u.) = 0.000
- space group = F-43m (216)
- spin magnetization (μB per formula unit) = 1.4

a b c (Å): 4.155 4.155 4.155
angles (deg): 60.00 60.00 60.00
Sites, in units of the cell vectors:
1 Al 0.000 0.000 0.000
2 Cu 0.750 0.750 0.750
3 Fe 0.500 0.500 0.500
4 Tc 0.250 0.250 0.250

***

Record 8
# AlFeCuTe

AlFeCuTe after structural relaxation (PBE-GGA, OQMD).

- polymorph energy (0 for the lowest one) (eV/f.u.) = 0.000
- space group = F-43m (216)
- spin magnetization (μB per formula unit) = 0.0

a b c (Å): 4.410 4.410 4.410
angles (deg): 60.00 60.00 60.00
Sites, in units of the cell vectors:
1 Al 0.000 0.000 0.000
2 Cu 0.750 0.750 0.750
3 Fe 0.250 0.250 0.250
4 Te 0.500 0.500 0.500